(1)
DFT (PBE) results for crystalline Pm6Ho3Sc2 at its relaxed geometry.

Calculated values
Formation enthalpy at 0 K in meV per atom: 96.3

Lattice parameters (Å, degrees): 6.103 6.686 9.656 88.61 87.72 63.60
Space group P-1 (No. 2)
Asymmetric unit:
Pm1 0.093 0.392 0.324 x2
Pm2 0.214 0.226 0.951 x2
Pm3 0.234 0.859 0.232 x2
Ho1 0.346 0.682 0.865 x2
Ho2 0.500 0.500 0.500 x1
Sc1 0.293 0.048 0.606 x2



(2)
DFT (PBE) results for crystalline Nd7Cu3 at its relaxed geometry.

Calculated values
Formation enthalpy at 0 K in meV per atom: -81.4

Lattice parameters (Å, degrees): 10.1723 10.1723 6.3611 90.00 90.00 120.00
Space group P6_3mc (No. 186)
Asymmetric unit:
Nd1 0.0763 0.5382 0.0000 x6
Nd2 0.1268 0.2536 0.6977 x6
Nd3 0.3333 0.6667 0.5130 x2
Cu1 0.1900 0.3799 0.2674 x6



formation enthalpy at 0 K of number 1 (Pm6Ho3Sc2)? 96.3 meV per atom



The highest formation enthalpy at 0 K belongs to which entry? Pm6Ho3Sc2



What is the formula in the second record? Nd7Cu3



The lowest formation enthalpy at 0 K belongs to which entry? Nd7Cu3